VASP calculation (PBE) on a geometry-optimized Pm2Ga2Ni2H structure.

Lattice parameters (Å, degrees): 5.567 5.567 7.025 125.83 125.83 45.53
Positions (direct):
Pm: 0.045 0.045 0.306
Pm: 0.955 0.955 0.694
Ga: 0.331 0.331 0.893
Ga: 0.669 0.669 0.107
Ni: 0.306 0.306 0.243
Ni: 0.694 0.694 0.757
H: 0.500 0.500 0.500

As for the space group: C2/m, No. 12. The energy comes out at -4.892 eV per atom. The calculation puts the total magnetization at 0.00 Bohr magnetons per cell.